(a)
LiZrTl: optimized geometry, GGA-PBE.

Lattice parameters (Å, degrees): 4.1009 4.1009 11.5529 90.00 90.00 120.00
Last column: nearest neighbours and their distance in Å.
Element x y z (fractional)
Li1 0.3333 0.6667 0.2500  3 Tl 2.37
Li2 0.6667 0.3333 0.7500  3 Tl 2.37
Zr1 0.0000 0.0000 0.0000  2 Tl 2.89
Zr2 0.0000 0.0000 0.5000  2 Tl 2.89
Tl1 0.0000 0.0000 0.2500  3 Li 2.37
Tl2 0.0000 0.0000 0.7500  3 Li 2.37

**DOS(E_F)**: 9.1 states/eV per cell

(b)
LiZrTl: optimized geometry, GGA-PBE.

Lattice parameters (Å, degrees): 4.7995 5.7414 5.7457 94.93 114.62 114.63
Last column: nearest neighbours and their distance in Å.
Element x y z (fractional)
Li1 0.0011 0.3368 0.1651  4 Tl 2.74-3.06, 1 Li 2.78
Li2 0.9989 0.6632 0.8349  4 Tl 2.74-3.06, 1 Li 2.78
Zr1 0.2436 0.2430 0.7433  2 Zr 2.97-3.14, 6 Tl 3.13-3.22, 6 Li 3.18-3.21
Zr2 0.7564 0.7570 0.2567  2 Zr 2.97-3.14, 6 Tl 3.13-3.22, 6 Li 3.18-3.21
Tl1 0.4996 0.1797 0.3191  4 Li 2.74-3.06, 1 Tl 3.05
Tl2 0.5004 0.8203 0.6809  4 Li 2.74-3.06, 1 Tl 3.05

**DOS(E_F)**: 5.1 states/eV per cell

(c)
LiZrTl: optimized geometry, GGA-PBE.

Lattice parameters (Å, degrees): 3.2458 4.9055 8.1476 90.00 99.37 90.00
Last column: nearest neighbours and their distance in Å.
Element x y z (fractional)
Li1 0.2416 0.2500 0.4638  4 Tl 2.87-3.04, 4 Li 2.98-3.02, 1 Zr 3.19
Li2 0.7584 0.7500 0.5362  4 Tl 2.87-3.04, 4 Li 2.98-3.02, 1 Zr 3.19
Zr1 0.3778 0.7500 0.8831  5 Tl 3.05-3.17, 4 Zr 3.13-3.25, 2 Li 3.19-3.26
Zr2 0.6222 0.2500 0.1169  5 Tl 3.05-3.17, 4 Zr 3.13-3.25, 2 Li 3.19-3.26
Tl1 0.1366 0.7500 0.2407  4 Li 2.87-3.04, 5 Zr 3.05-3.17
Tl2 0.8634 0.2500 0.7593  4 Li 2.87-3.04, 5 Zr 3.05-3.17

**DOS(E_F)**: 3.8 states/eV per cell

(d)
LiZrTl: optimized geometry, GGA-PBE.

Lattice parameters (Å, degrees): 3.2611 4.2329 9.3874 90.00 90.32 90.00
Last column: nearest neighbours and their distance in Å.
Element x y z (fractional)
Li1 0.2487 0.2500 0.0789  5 Tl 2.92-3.04, 6 Li 3.05-3.26, 1 Zr 3.14
Li2 0.7513 0.7500 0.9211  5 Tl 2.92-3.04, 6 Li 3.05-3.26, 1 Zr 3.14
Zr1 0.2489 0.2500 0.4137  6 Zr 3.12-3.26, 1 Li 3.14, 5 Tl 3.17-3.33
Zr2 0.7511 0.7500 0.5863  6 Zr 3.12-3.26, 1 Li 3.14, 5 Tl 3.17-3.33
Tl1 0.2526 0.2500 0.7680  5 Li 2.92-3.04, 4 Zr 3.17, 2 Tl 3.26
Tl2 0.7474 0.7500 0.2320  5 Li 2.92-3.04, 4 Zr 3.17, 2 Tl 3.26

**DOS(E_F)**: 3.9 states/eV per cell

Preferred: (d); penalty for the next structure: 3.6 kJ/mol of atoms.

(a)
LiZrTl: optimized geometry, GGA-PBE.

Lattice parameters (Å, degrees): 3.2140 6.5167 6.7958 102.66 103.59 90.56
Last column: nearest neighbours and their distance in Å.
Element x y z (fractional)
Li1 0.0000 0.0000 0.0000  3 Tl 2.96-3.14, 4 Li 3.08-3.21, 4 Zr 3.24-3.27
Li2 0.3416 0.1911 0.6883  4 Tl 2.91-3.03, 4 Li 3.08-3.21
Zr1 0.3167 0.6761 0.6327  4 Zr 2.99-3.21, 4 Tl 3.10-3.13, 4 Li 3.25-3.29
Zr2 0.6541 0.3734 0.3182  4 Zr 2.99-3.21, 3 Tl 3.06-3.13, 2 Li 3.24-3.27
Tl1 0.6782 0.9113 0.3484  4 Li 2.96-3.03, 3 Zr 3.06-3.13, 2 Tl 3.21
Tl2 0.9811 0.5113 0.9649  3 Li 2.91-3.14, 4 Zr 3.10-3.13, 2 Tl 3.21

**DOS(E_F)**: 3.3 states/eV per cell

(b)
LiZrTl: optimized geometry, GGA-PBE.

Lattice parameters (Å, degrees): 8.1323 7.9362 3.0512 82.69 75.46 21.85
Last column: nearest neighbours and their distance in Å.
Element x y z (fractional)
Li1 0.0000 0.0000 0.0000  2 Tl 2.95, 4 Li 3.05, 2 Zr 3.19
Zr1 0.6722 0.6722 0.3278  4 Zr 3.05, 2 Li 3.19, 2 Tl 3.22
Tl1 0.3469 0.3469 0.6531  2 Li 2.95, 4 Tl 3.05, 2 Zr 3.22

**DOS(E_F)**: 2.5 states/eV per cell

Preferred: (a); penalty for the next structure: 11.5 kJ/mol of atoms.

(a)
LiZrTl: optimized geometry, GGA-PBE.

Lattice parameters (Å, degrees): 3.2429 3.2429 12.0183 90.00 90.00 90.00
Last column: nearest neighbours and their distance in Å.
Element x y z (fractional)
Li1 0.2500 0.2500 0.0689  4 Li 2.83, 4 Tl 2.86
Li2 0.7500 0.7500 0.9311  4 Li 2.83, 4 Tl 2.86
Zr1 0.2500 0.2500 0.4079  8 Zr 3.19-3.24, 4 Tl 3.30
Zr2 0.7500 0.7500 0.5921  8 Zr 3.19-3.24, 4 Tl 3.30
Tl1 0.2500 0.2500 0.7893  4 Li 2.86
Tl2 0.7500 0.7500 0.2107  4 Li 2.86

**DOS(E_F)**: 3.1 states/eV per cell

(b)
LiZrTl: optimized geometry, GGA-PBE.

Lattice parameters (Å, degrees): 4.7050 3.5299 7.9638 90.00 107.18 90.00
Last column: nearest neighbours and their distance in Å.
Element x y z (fractional)
Li1 0.1788 0.0000 0.3542  6 Tl 2.95-2.97, 2 Zr 3.22, 2 Li 3.22-3.24
Li2 0.8212 0.0000 0.6458  6 Tl 2.95-2.97, 2 Zr 3.22, 2 Li 3.22-3.24
Zr1 0.0000 0.5000 0.0000  4 Zr 2.94, 4 Li 3.22
Zr2 0.5000 0.0000 0.0000  4 Zr 2.94, 4 Tl 3.08
Tl1 0.3323 0.5000 0.6683  6 Li 2.95-2.97, 2 Zr 3.08
Tl2 0.6677 0.5000 0.3317  6 Li 2.95-2.97, 2 Zr 3.08

**DOS(E_F)**: 2.9 states/eV per cell

(c)
LiZrTl: optimized geometry, GGA-PBE.

Lattice parameters (Å, degrees): 5.0173 5.0173 5.9852 90.00 90.00 120.00
Last column: nearest neighbours and their distance in Å.
Element x y z (fractional)
Li1 0.0000 0.0000 0.0000  2 Li 2.99, 6 Zr 3.26, 6 Tl 3.26
Li2 0.0000 0.0000 0.5000  2 Li 2.99, 6 Zr 3.26, 6 Tl 3.26
Zr1 0.3333 0.6667 0.2500  5 Tl 2.90-2.99
Zr2 0.6667 0.3333 0.7500  5 Tl 2.90-2.99
Tl1 0.3333 0.6667 0.7500  5 Zr 2.90-2.99
Tl2 0.6667 0.3333 0.2500  5 Zr 2.90-2.99

**DOS(E_F)**: 1.5 states/eV per cell

(d)
LiZrTl: optimized geometry, GGA-PBE.

Lattice parameters (Å, degrees): 3.3222 4.4526 8.6661 90.00 90.00 90.00
Last column: nearest neighbours and their distance in Å.
Element x y z (fractional)
Li1 0.2500 0.2500 0.0429  4 Tl 2.78-2.93, 4 Li 2.88
Li2 0.7500 0.7500 0.9571  4 Tl 2.78-2.93, 4 Li 2.88
Zr1 0.2500 0.7500 0.5988  5 Tl 3.13-3.15, 6 Zr 3.26-3.32
Zr2 0.7500 0.2500 0.4012  5 Tl 3.13-3.15, 6 Zr 3.26-3.32
Tl1 0.2500 0.7500 0.2353  4 Li 2.78-2.93
Tl2 0.7500 0.2500 0.7647  4 Li 2.78-2.93

**DOS(E_F)**: 4.4 states/eV per cell

Preferred: (a); penalty for the next structure: 1.7 kJ/mol of atoms.

(a)
LiZrTl: optimized geometry, GGA-PBE.

Lattice parameters (Å, degrees): 4.7024 4.7024 4.7024 60.00 60.00 60.00
Last column: nearest neighbours and their distance in Å.
Element x y z (fractional)
Li1 0.0000 0.0000 0.0000  4 Tl 2.88
Zr1 0.5000 0.5000 0.5000  4 Tl 2.88
Tl1 0.2500 0.2500 0.2500  4 Zr 2.88, 4 Li 2.88

**DOS(E_F)**: 0.1 states/eV per cell

(b)
LiZrTl: optimized geometry, GGA-PBE.

Lattice parameters (Å, degrees): 12.6124 12.6124 12.6124 165.35 165.35 20.77
Last column: nearest neighbours and their distance in Å.
Element x y z (fractional)
Li1 0.2166 0.2166 0.0000  4 Li 2.81, 4 Tl 2.84
Li2 0.7834 0.7834 0.0000  4 Li 2.81, 4 Tl 2.84
Zr1 0.0585 0.0585 0.0000  5 Zr 2.90-3.22, 4 Tl 3.17
Zr2 0.9415 0.9415 0.0000  5 Zr 2.90-3.22, 4 Tl 3.17
Tl1 0.3523 0.3523 0.0000  4 Li 2.84, 4 Zr 3.17
Tl2 0.6477 0.6477 0.0000  4 Li 2.84, 4 Zr 3.17

**DOS(E_F)**: 4.4 states/eV per cell

Preferred: (b); penalty for the next structure: 15.3 kJ/mol of atoms.

(a)
LiTm3: optimized geometry, GGA-PBE.

Lattice parameters (Å, degrees): 3.2988 3.3810 10.5270 90.00 90.00 90.00
Last column: nearest neighbours and their distance in Å.
Element x y z (fractional)
Li1 0.0000 0.0000 0.0000  6 Tm 3.23-3.35, 4 Li 3.30-3.38
Tm1 0.0000 0.5000 0.2619  2 Li 3.23, 8 Tm 3.30-3.39
Tm2 0.5000 0.0000 0.4933  10 Tm 3.30-3.40
Tm3 0.5000 0.5000 0.7739  6 Tm 3.30-3.40, 4 Li 3.35

**DOS(E_F)**: 6.5 states/eV per cell

(b)
LiTm3: optimized geometry, GGA-PBE.

Lattice parameters (Å, degrees): 5.3870 5.3870 5.3870 120.08 120.08 89.87
Last column: nearest neighbours and their distance in Å.
Element x y z (fractional)
Li1 0.0000 0.0000 0.0000  8 Tm 3.30
Tm1 0.2500 0.7500 0.5000  4 Tm 3.30, 4 Li 3.30
Tm2 0.5000 0.5000 0.0000  8 Tm 3.30
Tm3 0.7500 0.2500 0.5000  4 Tm 3.30, 4 Li 3.30

**DOS(E_F)**: 2.6 states/eV per cell

Preferred: (b); penalty for the next structure: 11.5 kJ/mol of atoms.

(a)
Li2Tm: optimized geometry, GGA-PBE.

Lattice parameters (Å, degrees): 5.7874 5.7874 5.7874 60.00 60.00 60.00
Last column: nearest neighbours and their distance in Å.
Element x y z (fractional)
Li1 0.0000 0.0000 0.0000  6 Li 2.89
Li2 0.0000 0.0000 0.5000  6 Li 2.89
Li3 0.0000 0.5000 0.0000  6 Li 2.89
Li4 0.5000 0.0000 0.0000  6 Li 2.89
Tm1 0.3750 0.3750 0.3750  12 Li 3.39, 4 Tm 3.54
Tm2 0.6250 0.6250 0.6250  12 Li 3.39, 4 Tm 3.54

**DOS(E_F)**: 4.8 states/eV per cell

(b)
Li2Tm: optimized geometry, GGA-PBE.

Lattice parameters (Å, degrees): 3.2763 3.2770 7.8340 88.06 88.20 61.09
Last column: nearest neighbours and their distance in Å.
Element x y z (fractional)
Li1 0.1699 0.1707 0.1554  9 Li 3.05-3.33, 3 Tm 3.28-3.34
Li2 0.8301 0.8293 0.8446  9 Li 3.05-3.33, 3 Tm 3.28-3.34
Tm1 0.5000 0.5000 0.5000  6 Tm 3.28-3.33, 6 Li 3.28-3.34

**DOS(E_F)**: 2.0 states/eV per cell

Preferred: (a); penalty for the next structure: 1.1 kJ/mol of atoms.

(a)
Li3Tm: optimized geometry, GGA-PBE.

Lattice parameters (Å, degrees): 5.6462 5.6462 5.6462 134.52 134.52 66.28
Last column: nearest neighbours and their distance in Å.
Element x y z (fractional)
Li1 0.0000 0.0000 0.0000  4 Tm 3.09, 8 Li 3.22
Li2 0.2500 0.7500 0.5000  8 Li 3.09-3.22, 4 Tm 3.22
Li3 0.7500 0.2500 0.5000  8 Li 3.09-3.22, 4 Tm 3.22
Tm1 0.5000 0.5000 0.0000  12 Li 3.09-3.22

**DOS(E_F)**: 3.0 states/eV per cell

(b)
Li3Tm: optimized geometry, GGA-PBE.

Lattice parameters (Å, degrees): 3.1696 5.2306 5.5767 90.00 90.00 90.00
Last column: nearest neighbours and their distance in Å.
Element x y z (fractional)
Li1 0.0000 0.0000 0.0000  6 Li 3.01-3.17, 4 Tm 3.26
Li2 0.0000 0.5000 0.2954  8 Li 3.09-3.19, 4 Tm 3.19-3.22
Li3 0.5000 0.0000 0.4599  8 Li 3.01-3.19, 2 Tm 3.22
Tm1 0.5000 0.5000 0.7982  2 Tm 3.17, 10 Li 3.19-3.26

**DOS(E_F)**: 3.1 states/eV per cell

(c)
Li3Tm: optimized geometry, GGA-PBE.

Lattice parameters (Å, degrees): 5.9490 5.9490 5.9490 147.51 126.52 63.99
Last column: nearest neighbours and their distance in Å.
Element x y z (fractional)
Li1 0.0000 0.0000 0.0000  4 Li 2.82, 4 Tm 3.15
Li2 0.2259 0.7259 0.5000  2 Li 2.82
Li3 0.7741 0.2741 0.5000  2 Li 2.82
Tm1 0.5000 0.5000 0.0000  12 Li 3.15-3.52, 2 Tm 3.33

**DOS(E_F)**: 3.0 states/eV per cell

(d)
Li3Tm: optimized geometry, GGA-PBE.

Lattice parameters (Å, degrees): 6.4763 6.4763 5.0182 90.00 90.00 120.00
Last column: nearest neighbours and their distance in Å.
Element x y z (fractional)
Li1 0.1540 0.3080 0.2500  6 Li 2.99-3.05, 4 Tm 3.22-3.24
Li2 0.1540 0.8460 0.2500  6 Li 2.99-3.05, 4 Tm 3.22-3.24
Li3 0.3080 0.1540 0.7500  6 Li 2.99-3.05, 4 Tm 3.22-3.24
Li4 0.6920 0.8460 0.2500  6 Li 2.99-3.05, 4 Tm 3.22-3.24
Li5 0.8460 0.1540 0.7500  6 Li 2.99-3.05, 4 Tm 3.22-3.24
Li6 0.8460 0.6920 0.7500  6 Li 2.99-3.05, 4 Tm 3.22-3.24
Tm1 0.3333 0.6667 0.7500  12 Li 3.22-3.24
Tm2 0.6667 0.3333 0.2500  12 Li 3.22-3.24

**DOS(E_F)**: 9.4 states/eV per cell

Preferred: (c); penalty for the next structure: 1.5 kJ/mol of atoms.

(a)
LiTm2V: optimized geometry, GGA-PBE.

Lattice parameters (Å, degrees): 11.2246 11.2246 11.2246 16.38 16.38 16.38
Last column: nearest neighbours and their distance in Å.
Element x y z (fractional)
Li1 0.0000 0.0000 0.0000  6 Li 3.20, 6 Tm 3.32
Tm1 0.4163 0.4163 0.4163  1 V 2.78
Tm2 0.5837 0.5837 0.5837  1 V 2.78
V1 0.5000 0.5000 0.5000  2 Tm 2.78

**DOS(E_F)**: 5.5 states/eV per cell

(b)
LiTm2V: optimized geometry, GGA-PBE.

Lattice parameters (Å, degrees): 3.5260 3.5260 7.6466 90.00 90.00 90.00
Last column: nearest neighbours and their distance in Å.
Element x y z (fractional)
Li1 0.0000 0.0000 0.0000  8 Tm 3.28, 4 Li 3.53
Tm1 0.5000 0.5000 0.2795  4 V 3.01, 4 Li 3.28
Tm2 0.5000 0.5000 0.7205  4 V 3.01, 4 Li 3.28
V1 0.0000 0.0000 0.5000  8 Tm 3.01

**DOS(E_F)**: 4.0 states/eV per cell

Preferred: (b); penalty for the next structure: 43.7 kJ/mol of atoms.

(a)
LiYTm2: optimized geometry, GGA-PBE.

Lattice parameters (Å, degrees): 11.3146 11.3146 11.3146 17.59 17.59 17.59
Last column: nearest neighbours and their distance in Å.
Element x y z (fractional)
Li1 0.0000 0.0000 0.0000  6 Tm 3.37, 6 Li 3.46
Y1 0.5000 0.5000 0.5000  6 Y 3.46, 6 Tm 3.49
Tm1 0.2522 0.2522 0.2522  3 Li 3.37, 6 Tm 3.46, 3 Y 3.49
Tm2 0.7478 0.7478 0.7478  3 Li 3.37, 6 Tm 3.46, 3 Y 3.49

**DOS(E_F)**: 4.6 states/eV per cell

(b)
LiYTm2: optimized geometry, GGA-PBE.

Lattice parameters (Å, degrees): 5.4937 5.4937 3.7811 90.00 90.00 90.00
Last column: nearest neighbours and their distance in Å.
Element x y z (fractional)
Li1 0.0000 0.0000 0.0000  8 Tm 3.33
Y1 0.5000 0.5000 0.0000  8 Tm 3.33
Tm1 0.0000 0.5000 0.5000  4 Li 3.33, 4 Y 3.33
Tm2 0.5000 0.0000 0.5000  4 Li 3.33, 4 Y 3.33

**DOS(E_F)**: 5.0 states/eV per cell

(c)
LiYTm2: optimized geometry, GGA-PBE.

Lattice parameters (Å, degrees): 5.4240 5.4240 5.4240 60.00 60.00 60.00
Last column: nearest neighbours and their distance in Å.
Element x y z (fractional)
Li1 0.0000 0.0000 0.0000  4 Y 3.32, 4 Tm 3.32
Y1 0.7500 0.7500 0.7500  4 Li 3.32, 4 Tm 3.32
Tm1 0.2500 0.2500 0.2500  4 Tm 3.32, 4 Li 3.32
Tm2 0.5000 0.5000 0.5000  4 Y 3.32, 4 Tm 3.32

**DOS(E_F)**: 2.8 states/eV per cell

(d)
LiYTm2: optimized geometry, GGA-PBE.

Lattice parameters (Å, degrees): 3.5699 3.5699 8.7398 90.00 90.00 90.00
Last column: nearest neighbours and their distance in Å.
Element x y z (fractional)
Li1 0.0000 0.0000 0.0000  8 Tm 3.17
Y1 0.0000 0.0000 0.5000  8 Tm 3.52, 4 Y 3.57
Tm1 0.5000 0.5000 0.2193  4 Li 3.17, 4 Y 3.52
Tm2 0.5000 0.5000 0.7807  4 Li 3.17, 4 Y 3.52

**DOS(E_F)**: 4.4 states/eV per cell

Preferred: (d); penalty for the next structure: 3.3 kJ/mol of atoms.

(a)
LiTmZn4: optimized geometry, GGA-PBE.

Lattice parameters (Å, degrees): 5.2856 5.2856 5.2856 60.00 60.00 60.00
Last column: nearest neighbours and their distance in Å.
Element x y z (fractional)
Li1 0.0000 0.0000 0.0000  12 Zn 3.10, 4 Tm 3.24
Tm1 0.7500 0.7500 0.7500  12 Zn 3.10, 4 Li 3.24
Zn1 0.3746 0.3746 0.3746  6 Zn 2.63-2.65
Zn2 0.3746 0.3746 0.8762  6 Zn 2.63-2.65
Zn3 0.3746 0.8762 0.3746  6 Zn 2.63-2.65
Zn4 0.8762 0.3746 0.3746  6 Zn 2.63-2.65

**DOS(E_F)**: 3.1 states/eV per cell

(b)
LiTmZn4: optimized geometry, GGA-PBE.

Lattice parameters (Å, degrees): 4.3738 4.3738 6.3319 90.00 90.00 120.00
Last column: nearest neighbours and their distance in Å.
Element x y z (fractional)
Li1 0.0000 0.0000 0.0000  12 Zn 2.88, 2 Tm 3.17
Tm1 0.0000 0.0000 0.5000  12 Zn 3.09, 2 Li 3.17
Zn1 0.3333 0.6667 0.2187  4 Zn 2.53-2.77
Zn2 0.3333 0.6667 0.7813  4 Zn 2.53-2.77
Zn3 0.6667 0.3333 0.2187  4 Zn 2.53-2.77
Zn4 0.6667 0.3333 0.7813  4 Zn 2.53-2.77

**DOS(E_F)**: 2.7 states/eV per cell

(c)
LiTmZn4: optimized geometry, GGA-PBE.

Lattice parameters (Å, degrees): 8.3319 8.3319 4.3579 90.00 90.00 135.25
Last column: nearest neighbours and their distance in Å.
Element x y z (fractional)
Li1 0.1385 0.8615 0.7500  12 Zn 2.87-3.11, 2 Tm 3.20
Li2 0.8615 0.1385 0.2500  12 Zn 2.87-3.11, 2 Tm 3.20
Tm1 0.3875 0.6125 0.2500  12 Zn 3.03-3.15, 2 Li 3.20
Tm2 0.6125 0.3875 0.7500  12 Zn 3.03-3.15, 2 Li 3.20
Zn1 0.0303 0.4476 0.7500  3 Zn 2.53-2.55
Zn2 0.1668 0.2544 0.7500  4 Zn 2.55-2.67
Zn3 0.2544 0.1668 0.2500  4 Zn 2.55-2.67
Zn4 0.4476 0.0303 0.2500  3 Zn 2.53-2.55
Zn5 0.5524 0.9697 0.7500  3 Zn 2.53-2.55
Zn6 0.7456 0.8332 0.7500  4 Zn 2.55-2.67
Zn7 0.8332 0.7456 0.2500  4 Zn 2.55-2.67
Zn8 0.9697 0.5524 0.2500  3 Zn 2.53-2.55

**DOS(E_F)**: 7.7 states/eV per cell

Preferred: (b); penalty for the next structure: 2.8 kJ/mol of atoms.